{
  "formula": "Tl2SiOs",
  "functional": "PBE",
  "state": "relaxed",
  "sg": "Cmmm (65)",
  "lattice": [[-0.300, 2.122, -2.199], [-2.555, -1.184, 1.224], [-0.007, 7.126, 6.876]],
  "species": ["Os", "Si", "Tl", "Tl"],
  "fractional_positions": [[0.500, 0.500, 0.250], [0.500, 0.500, 0.750], [0.000, 0.000, 0.014], [0.000, 0.000, 0.486]]
}

=====

{
  "formula": "TlSiOs2",
  "functional": "PBE",
  "state": "relaxed",
  "sg": "P4mm (99)",
  "lattice": [[2.867, 0.000, 0.000], [0.000, 2.867, 0.000], [0.000, 0.000, 8.451]],
  "species": ["Os", "Os", "Si", "Tl"],
  "fractional_positions": [[0.000, 0.000, 0.046], [0.500, 0.500, 0.246], [0.000, 0.000, 0.445], [0.500, 0.500, 0.763]]
}

=====

{
  "formula": "TlSi2Os",
  "functional": "PBE",
  "state": "relaxed",
  "sg": "Pmmm (47)",
  "lattice": [[-2.101, 1.173, 2.160], [-3.051, -3.126, -1.270], [1.663, -2.925, 3.206]],
  "species": ["Os", "Si", "Si", "Tl"],
  "fractional_positions": [[0.000, 0.500, 0.500], [0.000, 0.000, 0.000], [0.500, 0.500, 0.000], [0.500, 0.000, 0.500]]
}

=====

no.,energy (eV per formula unit),density of states at the Fermi level (states/eV/atom)
1,-17.3,0.81
2,-28.5,0.33
3,-20.7,0.69